Entry from Alexandria via LeMat-Bulk: a relaxed structure of YCr3Fe (GGA-PBE).

abc: 4.7179 4.7179 4.7179
angles: 90.00 90.00 90.00
Site moments in Bohr magnetons follow the coordinates.
Element x y z (fractional)
Cr (0.5000, 0.0000, 0.0000)  3.41
Fe (0.5000, 0.5000, 0.5000)  0.09
Y (0.0000, 0.0000, 0.0000)  0.06
Cr (0.0000, 0.5000, 0.0000)  3.16
Cr (0.0000, 0.0000, 0.5000)  2.64

Calculated values
crystal system: cubic
ΔE to the lowest computed polymorph: 1901 meV/atom
density of states at the Fermi level: 13.47 states/eV per cell
size of the total moment: 9.923 μB/cell